[1]
This record from Alexandria describes a relaxed structure of RbMo2Br. The functional is PBE. Values from VASP.

Summary:
density = 7.6 g/cm3
formation energy (no corrections) = 2.22 eV per atom
ΔE to the lowest computed polymorph = 989.2 meV per atom

The structure in Quantum ESPRESSO input format:
```
&SYSTEM
  ibrav = 0, nat = 16, ntyp = 3
/
ATOMIC_SPECIES
Rb 85.47 Rb.upf
Mo 95.94 Mo.upf
Br 79.90 Br.upf
ATOMIC_POSITIONS angstrom
Rb 0.000 0.000 0.000
Rb 0.000 3.389 3.389
Rb 3.389 0.000 3.389
Rb 3.389 3.389 0.000
Mo 1.694 1.694 1.694
Mo 1.694 1.694 5.083
Mo 1.694 5.083 1.694
Mo 1.694 5.083 5.083
Mo 5.083 1.694 1.694
Mo 5.083 1.694 5.083
Mo 5.083 5.083 1.694
Mo 5.083 5.083 5.083
Br 0.000 0.000 3.389
Br 0.000 3.389 0.000
Br 3.389 0.000 0.000
Br 3.389 3.389 3.389
CELL_PARAMETERS angstrom
6.777 0.000 0.000
0.000 6.777 0.000
0.000 0.000 6.777
```

---

[2]
This record from Alexandria describes a relaxed structure of Rb3MoBr6. The functional is PBE. Values from VASP.

Summary:
density = 3.6 g/cm3
formation energy (no corrections) = -1.26 eV per atom
ΔE to the lowest computed polymorph = 0.0 meV per atom

The structure in Quantum ESPRESSO input format:
```
&SYSTEM
  ibrav = 0, nat = 20, ntyp = 3
/
ATOMIC_SPECIES
Rb 85.47 Rb.upf
Mo 95.94 Mo.upf
Br 79.90 Br.upf
ATOMIC_POSITIONS angstrom
Rb 0.000 0.000 0.000
Rb -3.845 4.173 5.749
Rb -3.568 0.642 8.707
Rb 0.277 3.532 2.958
Rb 0.026 4.815 8.540
Rb 3.871 7.705 2.791
Mo 0.151 0.000 5.749
Mo 3.996 4.173 0.000
Br -0.746 0.210 3.290
Br -4.591 3.963 9.039
Br 1.867 5.575 0.634
Br -1.978 6.945 6.383
Br 2.744 1.945 0.636
Br -1.101 2.229 6.385
Br 1.404 6.118 5.113
Br -2.441 6.402 10.862
Br 2.280 1.402 5.115
Br -1.565 2.772 10.864
Br 4.894 4.384 2.459
Br 1.049 8.136 8.208
CELL_PARAMETERS angstrom
7.992 0.000 0.000
0.000 8.347 0.000
-7.690 0.000 11.498
```

---

[3]
This record from Alexandria describes a relaxed structure of Rb2MoBr. The functional is PBE. Values from VASP.

Summary:
density = 3.2 g/cm3
formation energy (no corrections) = 0.51 eV per atom
ΔE to the lowest computed polymorph = 0.0 meV per atom

The structure in Quantum ESPRESSO input format:
```
&SYSTEM
  ibrav = 0, nat = 16, ntyp = 3
/
ATOMIC_SPECIES
Rb 85.47 Rb.upf
Mo 95.94 Mo.upf
Br 79.90 Br.upf
ATOMIC_POSITIONS angstrom
Rb 2.229 2.229 2.229
Rb 2.229 2.229 6.687
Rb 2.229 6.687 2.229
Rb 2.229 6.687 6.687
Rb 6.687 2.229 2.229
Rb 6.687 2.229 6.687
Rb 6.687 6.687 2.229
Rb 6.687 6.687 6.687
Mo 0.000 0.000 0.000
Mo 0.000 4.458 4.458
Mo 4.458 0.000 4.458
Mo 4.458 4.458 0.000
Br 0.000 0.000 4.458
Br 0.000 4.458 0.000
Br 4.458 0.000 0.000
Br 4.458 4.458 4.458
CELL_PARAMETERS angstrom
8.916 0.000 0.000
0.000 8.916 0.000
0.000 0.000 8.916
```

---

[4]
This record from Alexandria describes a relaxed structure of RbMoBr3. The functional is PBE. Values from VASP.

Summary:
density = 4.2 g/cm3
formation energy (no corrections) = -0.96 eV per atom

The structure in Quantum ESPRESSO input format:
```
&SYSTEM
  ibrav = 0, nat = 10, ntyp = 3
/
ATOMIC_SPECIES
Rb 85.47 Rb.upf
Mo 95.94 Mo.upf
Br 79.90 Br.upf
ATOMIC_POSITIONS angstrom
Rb 0.005 2.124 0.653
Rb 4.200 2.145 8.265
Mo 1.279 -2.105 5.218
Mo 2.926 6.374 3.699
Br -0.082 -0.101 4.450
Br 4.287 4.370 4.468
Br 1.986 -0.402 7.136
Br 1.984 4.699 7.147
Br 2.221 -0.430 1.770
Br 2.219 4.672 1.782
CELL_PARAMETERS angstrom
4.374 0.000 0.000
-0.007 8.487 0.000
-0.161 -4.217 8.918
```

---

[5]
This record from Alexandria describes a relaxed structure of Rb3MoBr7. The functional is PBE. Values from VASP.

Summary:
density = 3.4 g/cm3
formation energy (no corrections) = -1.13 eV per atom

The structure in Quantum ESPRESSO input format:
```
&SYSTEM
  ibrav = 0, nat = 22, ntyp = 3
/
ATOMIC_SPECIES
Rb 85.47 Rb.upf
Mo 95.94 Mo.upf
Br 79.90 Br.upf
ATOMIC_POSITIONS angstrom
Rb 0.062 0.000 0.000
Rb 2.993 3.634 2.518
Rb 2.993 -3.634 7.514
Rb 8.052 3.634 2.498
Rb 8.052 -3.634 7.535
Rb 10.983 0.000 5.016
Mo 5.520 0.000 0.000
Mo 5.525 0.000 5.016
Br 5.522 5.865 7.524
Br 5.522 5.776 2.508
Br 3.723 1.700 9.530
Br 3.743 1.703 5.529
Br 3.723 -1.700 0.502
Br 3.743 -1.703 4.503
Br 5.522 0.921 2.508
Br 5.522 -0.921 7.524
Br 7.302 1.703 9.519
Br 7.322 1.700 5.518
Br 7.302 -1.703 0.513
Br 7.322 -1.700 4.514
Br 5.522 -5.776 7.524
Br 5.522 -5.865 2.508
CELL_PARAMETERS angstrom
5.522 -8.151 0.000
5.522 8.151 0.000
0.000 0.000 10.032
```

---

[6]
This record from Alexandria describes a relaxed structure of Rb2MoBr. The functional is PBE. Values from VASP.

Summary:
density = 2.5 g/cm3
formation energy (no corrections) = 0.55 eV per atom
ΔE to the lowest computed polymorph = 36.8 meV per atom

The structure in Quantum ESPRESSO input format:
```
&SYSTEM
  ibrav = 0, nat = 16, ntyp = 3
/
ATOMIC_SPECIES
Rb 85.47 Rb.upf
Mo 95.94 Mo.upf
Br 79.90 Br.upf
ATOMIC_POSITIONS angstrom
Rb 1.151 3.222 0.680
Rb 3.222 7.595 2.040
Rb 3.222 11.737 4.761
Rb 5.293 3.222 3.401
Rb 7.595 9.666 3.401
Rb 9.666 1.151 4.761
Rb 9.666 5.293 2.040
Rb 11.737 9.666 0.680
Mo 0.000 0.000 2.721
Mo 0.000 6.444 4.081
Mo 6.444 0.000 1.360
Mo 6.444 6.444 0.000
Br 0.000 0.000 0.000
Br 0.000 6.444 1.360
Br 6.444 0.000 4.081
Br 6.444 6.444 2.721
CELL_PARAMETERS angstrom
12.888 0.000 0.000
0.000 12.888 0.000
0.000 0.000 5.441
```

---

[7]
This record from Alexandria describes a relaxed structure of Rb2MoBr6. The functional is PBE. Values from VASP.

Summary:
density = 4.0 g/cm3
formation energy (no corrections) = -1.11 eV per atom

The structure in Quantum ESPRESSO input format:
```
&SYSTEM
  ibrav = 0, nat = 9, ntyp = 3
/
ATOMIC_SPECIES
Rb 85.47 Rb.upf
Mo 95.94 Mo.upf
Br 79.90 Br.upf
ATOMIC_POSITIONS angstrom
Rb 2.686 2.686 2.686
Rb 8.058 8.058 8.058
Mo 0.000 0.000 0.000
Br 5.372 5.372 2.562
Br 5.372 2.562 5.372
Br 8.182 5.372 5.372
Br 2.562 5.372 5.372
Br 5.372 8.182 5.372
Br 5.372 5.372 8.182
CELL_PARAMETERS angstrom
0.000 5.372 5.372
5.372 0.000 5.372
5.372 5.372 0.000
```

---

[8]
This record from Alexandria describes a relaxed structure of RbMo3Br7. The functional is PBE. Values from VASP.

Summary:
density = 4.1 g/cm3
formation energy (no corrections) = -0.87 eV per atom

The structure in Quantum ESPRESSO input format:
```
&SYSTEM
  ibrav = 0, nat = 44, ntyp = 3
/
ATOMIC_SPECIES
Rb 85.47 Rb.upf
Mo 95.94 Mo.upf
Br 79.90 Br.upf
ATOMIC_POSITIONS angstrom
Rb 8.298 7.279 4.535
Rb 7.272 1.091 6.691
Rb 9.392 -1.091 2.157
Rb 10.417 -7.279 0.000
Mo 0.105 2.449 8.403
Mo 2.419 3.566 7.773
Mo 6.094 3.023 1.244
Mo 2.224 -2.449 3.869
Mo 12.127 3.607 5.566
Mo 12.715 3.041 3.040
Mo 3.974 -3.023 5.779
Mo 4.539 -3.566 3.238
Mo 14.454 2.484 4.954
Mo 10.596 -3.041 7.574
Mo 14.246 -3.607 1.032
Mo 16.574 -2.484 0.420
Br 5.554 4.968 2.933
Br -1.185 0.232 7.685
Br 3.801 1.918 1.854
Br 0.934 -0.232 3.150
Br 8.385 4.145 0.585
Br 4.374 2.969 6.146
Br 2.338 1.079 8.621
Br 7.321 1.663 3.159
Br 10.413 4.168 3.655
Br 1.682 -1.918 6.389
Br 13.199 4.999 1.362
Br 4.458 -1.079 4.087
Br 10.118 3.075 7.150
Br 11.515 1.630 1.147
Br 5.201 -1.663 7.693
Br 6.494 -2.969 1.612
Br 12.220 1.111 4.756
Br 3.435 -4.968 7.468
Br 15.023 1.954 2.446
Br 6.266 -4.145 5.120
Br 9.395 -1.630 5.681
Br 14.340 -1.111 0.221
Br 12.237 -3.075 2.615
Br 8.294 -4.168 8.190
Br 15.731 0.291 5.763
Br 12.903 -1.954 6.980
Br 17.851 -0.291 1.228
Br 11.080 -4.999 5.896
CELL_PARAMETERS angstrom
10.417 -8.016 0.000
10.417 8.016 0.000
-4.239 0.000 9.069
```

---

[9]
This record from Alexandria describes a relaxed structure of RbMoS2Br. The functional is PBE. Values from VASP.

Summary:
density = 3.4 g/cm3
formation energy (no corrections) = 1.17 eV per atom

The structure in Quantum ESPRESSO input format:
```
&SYSTEM
  ibrav = 0, nat = 5, ntyp = 4
/
ATOMIC_SPECIES
Rb 85.47 Rb.upf
Mo 95.94 Mo.upf
S 32.06 S.upf
Br 79.90 Br.upf
ATOMIC_POSITIONS angstrom
Rb 0.000 0.000 0.000
Mo 2.636 2.636 0.000
S 0.000 2.636 2.869
S 2.636 0.000 2.869
Br 0.000 0.000 2.869
CELL_PARAMETERS angstrom
5.273 0.000 0.000
0.000 5.273 0.000
0.000 0.000 5.738
```

---

[10]
This record from Alexandria describes a relaxed structure of Rb2SbMoBr6. The functional is PBE. Values from VASP.

Summary:
density = 4.0 g/cm3
formation energy (no corrections) = -0.79 eV per atom

The structure in Quantum ESPRESSO input format:
```
&SYSTEM
  ibrav = 0, nat = 10, ntyp = 4
/
ATOMIC_SPECIES
Rb 85.47 Rb.upf
Sb 121.76 Sb.upf
Mo 95.94 Mo.upf
Br 79.90 Br.upf
ATOMIC_POSITIONS angstrom
Rb 4.021 0.000 2.819
Rb 0.000 4.021 2.819
Sb 0.000 0.000 0.000
Mo 0.000 0.000 5.639
Br 0.000 0.000 2.952
Br 2.127 2.127 0.000
Br 1.894 -1.894 5.639
Br -1.894 1.894 5.639
Br 1.894 1.894 5.639
Br 0.000 0.000 8.326
CELL_PARAMETERS angstrom
-4.021 4.021 5.639
4.021 -4.021 5.639
4.021 4.021 -5.639
```

---

[11]
This record from Alexandria describes a relaxed structure of Rb2ScMoBr6. The functional is PBE. Values from VASP.

Summary:
density = 3.9 g/cm3
formation energy (no corrections) = -1.13 eV per atom

The structure in Quantum ESPRESSO input format:
```
&SYSTEM
  ibrav = 0, nat = 10, ntyp = 4
/
ATOMIC_SPECIES
Rb 85.47 Rb.upf
Sc 44.96 Sc.upf
Mo 95.94 Mo.upf
Br 79.90 Br.upf
ATOMIC_POSITIONS angstrom
Rb 3.903 0.000 2.784
Rb 0.000 3.903 2.784
Sc 0.000 0.000 0.000
Mo 0.000 0.000 5.567
Br 0.000 0.000 2.692
Br 1.905 1.905 0.000
Br 1.997 -1.997 5.567
Br -1.997 1.997 5.567
Br 1.997 1.997 5.567
Br 0.000 0.000 8.443
CELL_PARAMETERS angstrom
-3.903 3.903 5.567
3.903 -3.903 5.567
3.903 3.903 -5.567
```

---

[12]
This record from Alexandria describes a relaxed structure of RbMoSe2Br. The functional is PBE. Values from VASP.

Summary:
density = 3.1 g/cm3
formation energy (no corrections) = 1.31 eV per atom
ΔE to the lowest computed polymorph = 1847.3 meV per atom

The structure in Quantum ESPRESSO input format:
```
&SYSTEM
  ibrav = 0, nat = 5, ntyp = 4
/
ATOMIC_SPECIES
Rb 85.47 Rb.upf
Mo 95.94 Mo.upf
Se 78.96 Se.upf
Br 79.90 Br.upf
ATOMIC_POSITIONS angstrom
Rb 0.000 0.000 0.000
Mo 3.032 3.032 3.018
Se 0.000 3.032 0.000
Se 3.032 0.000 0.000
Br 0.000 0.000 3.018
CELL_PARAMETERS angstrom
6.065 0.000 0.000
0.000 6.065 0.000
0.000 0.000 6.036
```

---

Which of these has the highest formation energy (no corrections)?
RbMo2Br